GGA-PBE BaFeGe2, optimized geometry; total energy = -40.8 eV per cell; DFT formation energy = -0.1941 eV per atom; total magnetization = 0.00 μB/f.u.
1.0
5.261 0.000 0.000
0.000 5.261 0.000
2.631 2.631 7.195
Ge Ba Fe
4 2 2
Direct
0.374 0.125 0.250
0.376 0.625 0.250
0.375 0.626 0.750
0.875 0.624 0.750
0.000 0.000 0.000
0.750 0.250 0.500
0.500 0.500 0.000
0.250 0.750 0.500